No. 1
A PBEsol-optimized structure of LiAg2Au, computed with meta-GGA SCAN.

Calculated values
uncorrected energy = -2.485 Ry per atom
ΔH_f (0 K) = -242 meV per atom
symmetry = F-43m
M_tot = 0.0 Bohr magnetons per cell

a = 4.4960 Å, b = 4.4960 Å, c = 4.4960 Å
α = 60.00°, β = 60.00°, γ = 60.00°
Fractional positions:
Li1 0.2500 0.2500 0.2500
Au1 0.5000 0.5000 0.5000
Ag1 0.7500 0.7500 0.7500
Ag2 0.0000 0.0000 0.0000

***

No. 2
A PBEsol-optimized structure of Li2ReAgAu, computed with meta-GGA SCAN.

Calculated values
uncorrected energy = -2.506 Ry per atom
ΔH_f (0 K) = 1188 meV per atom
symmetry = P4/mmm
M_tot = 1.1 Bohr magnetons per cell

a = 4.7328 Å, b = 4.7328 Å, c = 4.8218 Å
α = 90.00°, β = 90.00°, γ = 90.00°
Fractional positions:
Au1 0.0000 0.0000 0.5000
Ag1 0.5000 0.5000 0.5000
Li1 0.0000 0.5000 0.0000
Li2 0.5000 0.0000 0.0000
Re1 0.0000 0.0000 0.0000

***

No. 3
A PBEsol-optimized structure of LiAgAu2Se, computed with meta-GGA SCAN.

Calculated values
uncorrected energy = -2.795 Ry per atom
ΔE_f (raw) = 401 meV/atom
symmetry = P4/mmm
M_tot = 0.0 Bohr magnetons per cell

a = 4.4346 Å, b = 4.4346 Å, c = 4.4800 Å
α = 90.00°, β = 90.00°, γ = 90.00°
Fractional positions:
Au1 0.0000 0.5000 0.0000
Au2 0.5000 0.0000 0.0000
Se1 0.5000 0.5000 0.5000
Li1 0.0000 0.0000 0.0000
Ag1 0.0000 0.0000 0.5000